# 1
Entry from the Alexandria database: K2BeCo after structural relaxation (PBE).

a b c (Å): 4.440 4.440 9.633
angles (deg): 88.63 88.63 35.51
Fractional positions:
Be1 0.750 0.750 0.750
K1 0.997 0.997 0.008
K2 0.503 0.503 0.492
Co1 0.250 0.250 0.250

Computed properties:
SG: C2/m (12)
VASP energy (eV per atom): -1.971
V (Å³/f.u.): 110.3
Energy of formation from the pure elements (meV per atom): 1286

---

# 2
Entry from the Alexandria database: ScCrPt after structural relaxation (PBE).

a b c (Å): 4.396 4.396 4.396
angles (deg): 60.00 60.00 60.00
Fractional positions:
Cr1 0.000 0.000 0.000
Pt1 0.500 0.500 0.500
Sc1 0.250 0.250 0.250

Computed properties:
Polymorph energy (0 for the lowest one) (meV/atom): 407
SG: F-43m (216)
VASP energy (eV per atom): -7.245
V (Å³/f.u.): 60.1
Energy of formation from the pure elements (meV per atom): 87

---

# 3
Entry from the Alexandria database: Co2HgPt after structural relaxation (PBE).

a b c (Å): 4.879 4.879 4.638
angles (deg): 74.74 74.74 33.56
Fractional positions:
Co1 0.017 0.017 0.006
Co2 0.727 0.727 0.758
Hg1 0.490 0.490 0.525
Pt1 0.266 0.266 0.211

Computed properties:
SG: Cm (8)
VASP energy (eV per atom): -4.912
V (Å³/f.u.): 58.7
Energy of formation from the pure elements (meV per atom): 227

---

# 4
Entry from the Alexandria database: Al2CuAu2 after structural relaxation (PBE).

a b c (Å): 7.028 7.028 3.407
angles (deg): 90.00 90.00 90.00
Fractional positions:
Au1 0.351 0.851 0.000
Au2 0.851 0.649 0.000
Au3 0.649 0.149 0.000
Au4 0.149 0.351 0.000
Al1 0.155 0.655 0.500
Al2 0.655 0.845 0.500
Al3 0.845 0.345 0.500
Al4 0.345 0.155 0.500
Cu1 0.000 0.000 0.000
Cu2 0.500 0.500 0.000

Computed properties:
Polymorph energy (0 for the lowest one) (meV/atom): 106
SG: P4/mbm (127)
VASP energy (eV per atom): -3.802
V (Å³/f.u.): 84.1
Energy of formation from the pure elements (meV per atom): -174

---

# 5
Entry from the Alexandria database: Ag2AsSe after structural relaxation (PBE).

a b c (Å): 2.982 7.041 8.399
angles (deg): 89.99 100.49 90.01
Fractional positions:
Ag1 0.643 0.914 0.957
Ag2 0.922 0.417 0.502
Ag3 0.645 0.494 0.957
Ag4 0.921 0.990 0.502
As1 0.282 0.029 0.224
As2 0.282 0.379 0.224
Se1 0.059 0.204 0.784
Se2 0.503 0.704 0.672

Computed properties:
SG: Pm (6)
VASP energy (eV per atom): -3.380
V (Å³/f.u.): 86.7

---

# 6
Entry from the Alexandria database: TbZr2PaN4 after structural relaxation (PBE).

a b c (Å): 3.370 5.861 5.840
angles (deg): 70.68 90.00 90.00
Fractional positions:
Tb1 0.500 0.500 0.000
Zr1 0.000 0.000 0.000
Zr2 0.500 0.000 0.500
Pa1 0.000 0.500 0.500
N1 0.000 0.763 0.738
N2 0.000 0.237 0.262
N3 0.500 0.762 0.250
N4 0.500 0.238 0.750

Computed properties:
SG: P2/m (10)
VASP energy (eV per atom): -9.756
V (Å³/f.u.): 108.9

---

# 7
Entry from the Alexandria database: KCa2Ac3Te6 after structural relaxation (PBE).

a b c (Å): 4.671 9.464 10.504
angles (deg): 103.17 102.85 90.00
Fractional positions:
K1 0.500 0.000 0.000
Ca1 0.833 0.667 0.666
Ca2 0.167 0.333 0.334
Ac1 0.500 0.500 0.000
Ac2 0.837 0.167 0.673
Ac3 0.163 0.833 0.327
Te1 0.330 0.904 0.660
Te2 0.670 0.576 0.341
Te3 0.670 0.096 0.340
Te4 0.005 0.258 0.011
Te5 0.995 0.742 0.989
Te6 0.330 0.424 0.659

Computed properties:
SG: C2/m (12)
VASP energy (eV per atom): -4.528
V (Å³/f.u.): 440.2

---

# 8
Entry from the Alexandria database: Mg2AlSe after structural relaxation (PBE).

a b c (Å): 4.965 4.965 4.965
angles (deg): 60.00 60.00 60.00
Fractional positions:
Al1 0.500 0.500 0.500
Mg1 0.000 0.000 0.000
Mg2 0.250 0.250 0.250
Se1 0.750 0.750 0.750

Computed properties:
Polymorph energy (0 for the lowest one) (meV/atom): 484
SG: F-43m (216)
VASP energy (eV per atom): -2.517
V (Å³/f.u.): 86.6

---

# 9
Entry from the Alexandria database: NiBiP3 after structural relaxation (PBE).

a b c (Å): 3.508 7.544 8.472
angles (deg): 90.00 90.00 90.00
Fractional positions:
Ni1 0.000 0.500 0.083
Ni2 0.500 0.000 0.583
Bi1 0.000 0.500 0.757
Bi2 0.500 0.000 0.257
P1 0.000 0.000 0.764
P2 0.500 0.500 0.264
P3 0.000 0.803 0.570
P4 0.000 0.197 0.570
P5 0.500 0.303 0.070
P6 0.500 0.697 0.070

Computed properties:
Polymorph energy (0 for the lowest one) (meV/atom): 74
SG: Imm2 (44)
VASP energy (eV per atom): -5.187
V (Å³/f.u.): 112.1
Energy of formation from the pure elements (meV per atom): -9

---

# 10
Entry from the Alexandria database: UFeB2 after structural relaxation (PBE).

a b c (Å): 5.179 5.721 5.975
angles (deg): 90.00 90.00 90.00
Fractional positions:
U1 0.750 0.014 0.355
U2 0.750 0.514 0.145
U3 0.250 0.986 0.645
U4 0.250 0.486 0.855
Fe1 0.750 0.808 0.837
Fe2 0.750 0.308 0.663
Fe3 0.250 0.192 0.163
Fe4 0.250 0.692 0.337
B1 0.917 0.628 0.551
B2 0.583 0.128 0.949
B3 0.417 0.372 0.449
B4 0.083 0.872 0.051
B5 0.083 0.372 0.449
B6 0.417 0.872 0.051
B7 0.583 0.628 0.551
B8 0.917 0.128 0.949

Computed properties:
Polymorph energy (0 for the lowest one) (meV/atom): 0
SG: Pnma (62)
VASP energy (eV per atom): -8.685
V (Å³/f.u.): 44.3
Energy of formation from the pure elements (meV per atom): -409

---

# 11
Entry from the Alexandria database: Mg3Co2H9 after structural relaxation (PBE).

a b c (Å): 4.524 4.524 5.653
angles (deg): 90.00 90.00 120.00
Fractional positions:
Mg1 0.667 0.333 0.655
Mg2 0.000 0.000 0.000
Mg3 0.333 0.667 0.345
Co1 0.667 0.333 0.182
Co2 0.333 0.667 0.818
H1 0.163 0.837 0.673
H2 0.163 0.325 0.673
H3 0.500 0.500 0.000
H4 0.837 0.675 0.327
H5 0.325 0.163 0.327
H6 0.675 0.837 0.673
H7 0.837 0.163 0.327
H8 0.000 0.500 0.000
H9 0.500 0.000 0.000

Computed properties:
SG: P-3m1 (164)
VASP energy (eV per atom): -3.718
V (Å³/f.u.): 100.2

---

# 12
Entry from the Alexandria database: TaN2 after structural relaxation (PBE).

a b c (Å): 3.117 3.117 3.790
angles (deg): 90.00 90.00 120.00
Fractional positions:
N1 0.000 0.000 0.816
N2 0.000 0.000 0.184
Ta1 0.667 0.333 0.500

Computed properties:
SG: P-6m2 (187)
VASP energy (eV per atom): -9.950
V (Å³/f.u.): 31.9

---

- Which value of VASP energy does entry 6 give?
  -9.756 eV per atom

---

- Look up the VASP energy of the tenth one.
  -8.685 eV per atom